Sc3SnW | PBE | relaxed

Lattice parameters (Å, degrees): 5.0618 5.0618 5.0618 90.00 90.00 90.00
Last column: nearest neighbours and their distance in Å.
Element x y z (fractional)
Sc 0.0000 0.0000 0.5000  2 W 2.53
Sc 0.0000 0.5000 0.0000  2 W 2.53
Sc 0.5000 0.0000 0.0000  2 W 2.53
Sn 0.5000 0.5000 0.5000  12 Sc 3.58
W 0.0000 0.0000 0.0000  6 Sc 2.53

Results
Offset from the most stable computed form, eV/f.u.: 0.00
Space-group type: Pm-3m
Formation enthalpy at 0 K, eV per atom: 0.43
Magnetic moment, μB per cell: 0.00